Crystalline Te2AsHI at its relaxed geometry. Source: Alexandria, functional PBE.

Geometry as CIF:
```
data_Te2AsHI
_chemical_formula_sum 'Te2 As1 H1 I1'
_symmetry_space_group_name_H-M 'P 1'
_symmetry_Int_Tables_number 1
_cell_length_a 5.498
_cell_length_b 5.498
_cell_length_c 5.830
_cell_angle_alpha 90.00
_cell_angle_beta 90.00
_cell_angle_gamma 90.00
loop_
_symmetry_equiv_pos_as_xyz
'x,y,z'
loop_
_atom_site_label
_atom_site_type_symbol
_atom_site_fract_x
_atom_site_fract_y
_atom_site_fract_z
_atom_site_occupancy
Te1 Te 0.000 0.500 0.000 1
Te2 Te 0.500 0.000 0.000 1
As1 As 0.000 0.000 0.000 1
H1 H 0.500 0.500 0.500 1
I1 I 0.000 0.000 0.500 1
```

Space group ... P4/mmm
ΔE to the lowest computed polymorph ... 255 meV/atom
Crystal system ... tetragonal
Electronic total energy ... -2.349 eV/atom
Density of states at the Fermi level ... 1.122 states/eV per atom
Theoretical density ... 4.32 g/cm³